A plane-wave DFT calculation with PBE was carried out for crystalline Al2TcB at its relaxed geometry.

The structure belongs to space group I-42d (No. 122); the cell edges are 7.070, 7.070 and 4.410 Å and the angles 90.00°, 90.00° and 90.00°. The distinct sites, in fractional coordinates, are Al at (0.152, 0.750, 0.125), Tc at (0.000, 0.000, 0.500) and B at (0.000, 0.000, 0.000).

As for the total energy: -93.725 eV per cell. Its crystal system is tetragonal. The spin magnetization comes out at 0.29 μB per formula unit. As for the density of states at the Fermi level: 11.7 states/eV per cell.


A plane-wave DFT calculation with PBE was carried out for crystalline AlTc2B2 at its relaxed geometry.

The structure belongs to space group P4/mbm (No. 127); the cell edges are 5.896, 5.896 and 3.020 Å and the angles 90.00°, 90.00° and 90.00°. The distinct sites, in fractional coordinates, are Al at (0.000, 0.000, 0.000), Tc at (0.175, 0.325, 0.500) and B at (0.112, 0.612, 0.000).

As for the total energy: -80.150 eV per cell. Its crystal system is tetragonal. The spin magnetization comes out at 0.00 μB per formula unit. As for the density of states at the Fermi level: 5.3 states/eV per cell.


A plane-wave DFT calculation with PBE was carried out for crystalline ThAl2Tc2B at its relaxed geometry.

The structure belongs to space group P4/mmm (No. 123); the cell edges are 4.292, 4.292 and 5.532 Å and the angles 90.00°, 90.00° and 90.00°. The distinct sites, in fractional coordinates, are Th at (0.000, 0.000, 0.000), Al at (0.500, 0.500, 0.240), Tc at (0.000, 0.500, 0.500) and B at (0.000, 0.000, 0.500).

As for the total energy: -45.341 eV per cell. Its crystal system is tetragonal. The spin magnetization comes out at 0.00 μB per formula unit. As for the density of states at the Fermi level: 4.4 states/eV per cell.


A plane-wave DFT calculation with PBE was carried out for crystalline AlTlTc2B at its relaxed geometry.

The structure belongs to space group P4/mmm (No. 123); the cell edges are 4.615, 4.615 and 4.937 Å and the angles 90.00°, 90.00° and 90.00°. The distinct sites, in fractional coordinates, are Al at (0.000, 0.000, 0.000), Tl at (0.000, 0.000, 0.500), Tc at (0.000, 0.500, 0.000) and B at (0.500, 0.500, 0.500).

As for the total energy: -22.635 eV per cell. Its crystal system is tetragonal. The spin magnetization comes out at 3.54 μB per formula unit. As for the density of states at the Fermi level: 5.6 states/eV per cell.


A plane-wave DFT calculation with PBE was carried out for crystalline Al3BTe at its relaxed geometry.

The structure belongs to space group Pm-3m (No. 221); the cell edges are 5.342, 5.342 and 5.342 Å and the angles 90.00°, 90.00° and 90.00°. The distinct sites, in fractional coordinates, are Al at (0.000, 0.000, 0.500), B at (0.500, 0.500, 0.500) and Te at (0.000, 0.000, 0.000).

Its crystal system is cubic. The spin magnetization comes out at 0.00 μB per formula unit. For the relative energy among the computed polymorphs, the calculation gives 1.641 eV per atom. As for the density of states at the Fermi level: 4.8 states/eV per cell. The calculation puts the raw formation energy at 1.83 eV per atom.


A plane-wave DFT calculation with PBE was carried out for crystalline Al3BTe at its relaxed geometry.

The structure belongs to space group Pm-3m (No. 221); the cell edges are 4.455, 4.455 and 4.455 Å and the angles 90.00°, 90.00° and 90.00°. The distinct sites, in fractional coordinates, are Al at (0.000, 0.000, 0.500), B at (0.000, 0.000, 0.000) and Te at (0.500, 0.500, 0.500).

Its crystal system is cubic. The spin magnetization comes out at 0.00 μB per formula unit. For the relative energy among the computed polymorphs, the calculation gives 0.000 eV per atom. As for the density of states at the Fermi level: 2.0 states/eV per cell. The calculation puts the raw formation energy at 0.19 eV per atom.


A plane-wave DFT calculation with PBE was carried out for crystalline AlB4Te2 at its relaxed geometry.

The structure belongs to space group I4/mmm (No. 139); the cell edges are 4.300, 4.300 and 12.819 Å and the angles 90.00°, 90.00° and 90.00°. The distinct sites, in fractional coordinates, are Al at (0.000, 0.000, 0.000), B at (0.000, 0.000, 0.176), B at (0.000, 0.500, 0.000) and Te at (0.000, 0.000, 0.351).

Its crystal system is tetragonal. The spin magnetization comes out at 0.00 μB per formula unit. As for the density of states at the Fermi level: 5.3 states/eV per cell. The calculation puts the raw formation energy at 1.53 eV per atom.


A plane-wave DFT calculation with PBE was carried out for crystalline AlBTe at its relaxed geometry.

The structure belongs to space group Immm (No. 71); the cell edges are 3.352, 5.784 and 11.334 Å and the angles 90.00°, 90.00° and 90.00°. The distinct sites, in fractional coordinates, are Al at (0.000, 0.000, 0.127), B at (0.000, 0.364, 0.500) and Te at (0.000, 0.500, 0.165).

Its crystal system is orthorhombic. The spin magnetization comes out at 0.00 μB per formula unit. As for the density of states at the Fermi level: 3.1 states/eV per cell. The calculation puts the raw formation energy at 0.55 eV per atom.


A plane-wave DFT calculation with PBE was carried out for crystalline Al2BTeW at its relaxed geometry.

The structure belongs to space group P4/mmm (No. 123); the cell edges are 5.097, 5.097 and 4.146 Å and the angles 90.00°, 90.00° and 90.00°. The distinct sites, in fractional coordinates, are Al at (0.000, 0.500, 0.000), B at (0.000, 0.000, 0.500), Te at (0.500, 0.500, 0.500) and W at (0.000, 0.000, 0.000).

Its crystal system is tetragonal. The spin magnetization comes out at 0.00 μB per formula unit. As for the density of states at the Fermi level: 5.1 states/eV per cell. The calculation puts the raw formation energy at 0.99 eV per atom.


A plane-wave DFT calculation with PBE was carried out for crystalline AlB2TeW at its relaxed geometry.

The structure belongs to space group P4/mmm (No. 123); the cell edges are 4.281, 4.281 and 5.332 Å and the angles 90.00°, 90.00° and 90.00°. The distinct sites, in fractional coordinates, are Al at (0.000, 0.000, 0.000), B at (0.000, 0.500, 0.500), Te at (0.000, 0.000, 0.500) and W at (0.500, 0.500, 0.000).

Its crystal system is tetragonal. The spin magnetization comes out at 2.19 μB per formula unit. As for the density of states at the Fermi level: 4.2 states/eV per cell. The calculation puts the raw formation energy at 2.51 eV per atom.


A plane-wave DFT calculation with PBE was carried out for crystalline ThAlB at its relaxed geometry.

The structure belongs to space group C2/m (No. 12); the cell edges are 8.775, 4.204 and 6.719 Å and the angles 90.00°, 107.80° and 90.00°. The distinct sites, in fractional coordinates, are Th at (0.092, 0.000, 0.308), Al at (0.156, 0.500, 0.942) and B at (0.091, 0.500, 0.585).

As for the total energy: -74.532 eV per cell. Its crystal system is monoclinic. The spin magnetization comes out at 0.00 μB per formula unit. As for the density of states at the Fermi level: 5.2 states/eV per cell.


A plane-wave DFT calculation with PBE was carried out for crystalline Ti2AlB at its relaxed geometry.

The structure belongs to space group I-42d (No. 122); the cell edges are 6.664, 6.664 and 5.173 Å and the angles 90.00°, 90.00° and 90.00°. The distinct sites, in fractional coordinates, are Ti at (0.206, 0.750, 0.125), Al at (0.000, 0.000, 0.500) and B at (0.000, 0.000, 0.000).

Its crystal system is tetragonal. The spin magnetization comes out at 0.00 μB per formula unit. For the relative energy among the computed polymorphs, the calculation gives 0.386 eV per atom. As for the density of states at the Fermi level: 15.6 states/eV per cell.


Q: Number 4 is which compound?
A: AlTlTc2B